# MgGa3Ni

A relaxed structure of MgGa3Ni (PBE-GGA, the Alexandria database).

Output
* energy of formation from the pure elements: -18 kJ per mole of atoms
* uncorrected energy: -3.480 eV/atom
* space group: P2_1/c

CIF file:
```
data_MgGa3Ni
_space_group_name_H-M_alt 'P 1'
_space_group_IT_number 1
_cell_length_a 6.915
_cell_length_b 5.308
_cell_length_c 9.267
_cell_angle_alpha 90.00
_cell_angle_beta 100.90
_cell_angle_gamma 90.00
loop_
_space_group_symop_operation_xyz
'x,y,z'
loop_
_atom_site_label
_atom_site_fract_x
_atom_site_fract_y
_atom_site_fract_z
_atom_site_occupancy
Mg1 0.179 0.076 0.244 1
Mg2 0.179 0.424 0.744 1
Mg3 0.821 0.576 0.256 1
Mg4 0.821 0.924 0.756 1
Ga1 0.130 0.615 0.095 1
Ga2 0.130 0.885 0.595 1
Ga3 0.211 0.508 0.410 1
Ga4 0.211 0.992 0.910 1
Ga5 0.461 0.159 0.615 1
Ga6 0.461 0.341 0.115 1
Ga7 0.539 0.659 0.885 1
Ga8 0.539 0.841 0.385 1
Ga9 0.789 0.008 0.090 1
Ga10 0.789 0.492 0.590 1
Ga11 0.870 0.115 0.405 1
Ga12 0.870 0.385 0.905 1
Ni1 0.456 0.669 0.612 1
Ni2 0.456 0.831 0.112 1
Ni3 0.544 0.169 0.888 1
Ni4 0.544 0.331 0.388 1
```